# CsCd4In12 | Alexandria | PBE | relaxed
# M_tot	0.000	μB/cell
# electronic total energy	-2.10	eV/atom
# D(E_F)	10.62	states/eV/cell
# E_form	10.0	kJ/mol of atoms
data_CsCd4In12
_chemical_formula_sum 'Cs1 Cd4 In12'
_cell_length_a 8.824
_cell_length_b 8.824
_cell_length_c 8.824
_cell_angle_alpha 109.47
_cell_angle_beta 109.47
_cell_angle_gamma 109.47
_space_group_name_H-M_alt 'P 1'
_space_group_IT_number 1
_space_group_name_Hall 'P 1'
loop_
_atom_site_label
_atom_site_type_symbol
_atom_site_fract_x
_atom_site_fract_y
_atom_site_fract_z
_atom_site_occupancy
Cs1 Cs 0.000 0.000 0.000 1
Cd1 Cd 0.000 0.000 0.500 1
Cd2 Cd 0.000 0.500 0.000 1
Cd3 Cd 0.500 0.000 0.000 1
Cd4 Cd 0.500 0.500 0.500 1
In1 In 0.153 0.509 0.356 1
In2 In 0.153 0.798 0.644 1
In3 In 0.202 0.356 0.847 1
In4 In 0.356 0.153 0.509 1
In5 In 0.356 0.847 0.202 1
In6 In 0.491 0.644 0.847 1
In7 In 0.509 0.356 0.153 1
In8 In 0.644 0.153 0.798 1
In9 In 0.644 0.847 0.491 1
In10 In 0.798 0.644 0.153 1
In11 In 0.847 0.202 0.356 1
In12 In 0.847 0.491 0.644 1

***

# CsCd3In | Alexandria | PBE | relaxed
# M_tot	0.000	μB/cell
# electronic total energy	-1.30	eV/atom
# D(E_F)	4.96	states/eV/cell
# relative energy among the computed polymorphs	0.5	kJ/mol of atoms
# E_form	-3.1	kJ/mol of atoms
data_CsCd3In
_chemical_formula_sum 'Cs2 Cd6 In2'
_cell_length_a 8.074
_cell_length_b 8.074
_cell_length_c 8.074
_cell_angle_alpha 129.42
_cell_angle_beta 91.49
_cell_angle_gamma 109.82
_space_group_name_H-M_alt 'P 1'
_space_group_IT_number 1
_space_group_name_Hall 'P 1'
loop_
_atom_site_label
_atom_site_type_symbol
_atom_site_fract_x
_atom_site_fract_y
_atom_site_fract_z
_atom_site_occupancy
Cs1 Cs 0.349 0.099 0.250 1
Cs2 Cs 0.651 0.901 0.750 1
Cd1 Cd 0.143 0.393 0.750 1
Cd2 Cd 0.186 0.000 0.686 1
Cd3 Cd 0.186 0.500 0.186 1
Cd4 Cd 0.814 0.000 0.314 1
Cd5 Cd 0.814 0.500 0.814 1
Cd6 Cd 0.857 0.607 0.250 1
In1 In 0.000 0.500 0.500 1
In2 In 0.500 0.500 0.000 1

***

# CsCd3In5 | Alexandria | PBE | relaxed
# M_tot	0.000	μB/cell
# electronic total energy	-1.96	eV/atom
# D(E_F)	7.23	states/eV/cell
# E_form	-3.8	kJ/mol of atoms
data_CsCd3In5
_chemical_formula_sum 'Cs2 Cd6 In10'
_cell_length_a 7.916
_cell_length_b 7.916
_cell_length_c 15.547
_cell_angle_alpha 90.00
_cell_angle_beta 90.00
_cell_angle_gamma 144.46
_space_group_name_H-M_alt 'P 1'
_space_group_IT_number 1
_space_group_name_Hall 'P 1'
loop_
_atom_site_label
_atom_site_type_symbol
_atom_site_fract_x
_atom_site_fract_y
_atom_site_fract_z
_atom_site_occupancy
Cs1 Cs 0.176 0.824 0.750 1
Cs2 Cs 0.824 0.176 0.250 1
Cd1 Cd 0.099 0.901 0.250 1
Cd2 Cd 0.373 0.627 0.038 1
Cd3 Cd 0.373 0.627 0.462 1
Cd4 Cd 0.627 0.373 0.538 1
Cd5 Cd 0.627 0.373 0.962 1
Cd6 Cd 0.901 0.099 0.750 1
In1 In 0.000 0.000 0.000 1
In2 In 0.000 0.000 0.500 1
In3 In 0.185 0.815 0.080 1
In4 In 0.185 0.815 0.420 1
In5 In 0.464 0.536 0.647 1
In6 In 0.464 0.536 0.853 1
In7 In 0.536 0.464 0.147 1
In8 In 0.536 0.464 0.353 1
In9 In 0.815 0.185 0.580 1
In10 In 0.815 0.185 0.920 1

***

# Cs2Cd7In | Alexandria | PBE | relaxed
# M_tot	0.000	μB/cell
# electronic total energy	-1.13	eV/atom
# D(E_F)	5.49	states/eV/cell
# E_form	-4.2	kJ/mol of atoms
data_Cs2Cd7In
_chemical_formula_sum 'Cs2 Cd7 In1'
_cell_length_a 5.235
_cell_length_b 5.235
_cell_length_c 12.141
_cell_angle_alpha 90.00
_cell_angle_beta 90.00
_cell_angle_gamma 90.00
_space_group_name_H-M_alt 'P 1'
_space_group_IT_number 1
_space_group_name_Hall 'P 1'
loop_
_atom_site_label
_atom_site_type_symbol
_atom_site_fract_x
_atom_site_fract_y
_atom_site_fract_z
_atom_site_occupancy
Cs1 Cs 0.000 0.500 0.248 1
Cs2 Cs 0.500 0.000 0.752 1
Cd1 Cd 0.000 0.000 0.000 1
Cd2 Cd 0.000 0.500 0.627 1
Cd3 Cd 0.000 0.500 0.876 1
Cd4 Cd 0.500 0.000 0.124 1
Cd5 Cd 0.500 0.000 0.373 1
Cd6 Cd 0.500 0.500 0.000 1
Cd7 Cd 0.500 0.500 0.500 1
In1 In 0.000 0.000 0.500 1

***

# Cs3Cd2In5 | Alexandria | PBE | relaxed
# M_tot	0.000	μB/cell
# electronic total energy	-1.86	eV/atom
# D(E_F)	10.19	states/eV/cell
# E_form	-4.9	kJ/mol of atoms
data_Cs3Cd2In5
_chemical_formula_sum 'Cs6 Cd4 In10'
_cell_length_a 10.753
_cell_length_b 10.753
_cell_length_c 10.753
_cell_angle_alpha 107.74
_cell_angle_beta 86.92
_cell_angle_gamma 138.52
_space_group_name_H-M_alt 'P 1'
_space_group_IT_number 1
_space_group_name_Hall 'P 1'
loop_
_atom_site_label
_atom_site_type_symbol
_atom_site_fract_x
_atom_site_fract_y
_atom_site_fract_z
_atom_site_occupancy
Cs1 Cs 0.117 0.742 0.859 1
Cs2 Cs 0.250 0.250 0.000 1
Cs3 Cs 0.383 0.242 0.625 1
Cs4 Cs 0.617 0.758 0.375 1
Cs5 Cs 0.750 0.750 0.000 1
Cs6 Cs 0.883 0.258 0.141 1
Cd1 Cd 0.166 0.151 0.317 1
Cd2 Cd 0.334 0.651 0.985 1
Cd3 Cd 0.666 0.349 0.015 1
Cd4 Cd 0.834 0.849 0.683 1
In1 In 0.007 0.750 0.257 1
In2 In 0.123 0.378 0.501 1
In3 In 0.250 0.750 0.500 1
In4 In 0.377 0.878 0.254 1
In5 In 0.493 0.750 0.743 1
In6 In 0.507 0.250 0.257 1
In7 In 0.623 0.122 0.746 1
In8 In 0.750 0.250 0.500 1
In9 In 0.877 0.622 0.499 1
In10 In 0.993 0.250 0.743 1

***

# CsCdIn3 | Alexandria | PBE | relaxed
# M_tot	0.001	μB/cell
# electronic total energy	-0.98	eV/atom
# D(E_F)	9.61	states/eV/cell
# relative energy among the computed polymorphs	107.0	kJ/mol of atoms
# E_form	98.3	kJ/mol of atoms
data_CsCdIn3
_chemical_formula_sum 'Cs1 Cd1 In3'
_cell_length_a 6.721
_cell_length_b 6.721
_cell_length_c 6.721
_cell_angle_alpha 90.00
_cell_angle_beta 90.00
_cell_angle_gamma 90.00
_space_group_name_H-M_alt 'P 1'
_space_group_IT_number 1
_space_group_name_Hall 'P 1'
loop_
_atom_site_label
_atom_site_type_symbol
_atom_site_fract_x
_atom_site_fract_y
_atom_site_fract_z
_atom_site_occupancy
Cs1 Cs 0.000 0.000 0.000 1
Cd1 Cd 0.500 0.500 0.500 1
In1 In 0.000 0.000 0.500 1
In2 In 0.000 0.500 0.000 1
In3 In 0.500 0.000 0.000 1

***

# CsCdIn6 | Alexandria | PBE | relaxed
# M_tot	0.000	μB/cell
# electronic total energy	-2.35	eV/atom
# D(E_F)	2.88	states/eV/cell
# relative energy among the computed polymorphs	0.0	kJ/mol of atoms
# E_form	-7.1	kJ/mol of atoms
data_CsCdIn6
_chemical_formula_sum 'Cs1 Cd1 In6'
_cell_length_a 5.263
_cell_length_b 5.263
_cell_length_c 9.175
_cell_angle_alpha 90.00
_cell_angle_beta 90.00
_cell_angle_gamma 90.00
_space_group_name_H-M_alt 'P 1'
_space_group_IT_number 1
_space_group_name_Hall 'P 1'
loop_
_atom_site_label
_atom_site_type_symbol
_atom_site_fract_x
_atom_site_fract_y
_atom_site_fract_z
_atom_site_occupancy
Cs1 Cs 0.000 0.000 0.000 1
Cd1 Cd 0.000 0.000 0.500 1
In1 In 0.000 0.500 0.331 1
In2 In 0.000 0.500 0.669 1
In3 In 0.500 0.000 0.331 1
In4 In 0.500 0.000 0.669 1
In5 In 0.500 0.500 0.163 1
In6 In 0.500 0.500 0.837 1

***

# Cs2Cd12In7 | Alexandria | PBE | relaxed
# M_tot	0.000	μB/cell
# electronic total energy	-1.53	eV/atom
# D(E_F)	8.97	states/eV/cell
# E_form	-1.7	kJ/mol of atoms
data_Cs2Cd12In7
_chemical_formula_sum 'Cs2 Cd12 In7'
_cell_length_a 11.578
_cell_length_b 11.578
_cell_length_c 5.195
_cell_angle_alpha 90.00
_cell_angle_beta 90.00
_cell_angle_gamma 120.00
_space_group_name_H-M_alt 'P 1'
_space_group_IT_number 1
_space_group_name_Hall 'P 1'
loop_
_atom_site_label
_atom_site_type_symbol
_atom_site_fract_x
_atom_site_fract_y
_atom_site_fract_z
_atom_site_occupancy
Cs1 Cs 0.333 0.667 0.228 1
Cs2 Cs 0.667 0.333 0.772 1
Cd1 Cd 0.047 0.438 0.784 1
Cd2 Cd 0.122 0.869 0.178 1
Cd3 Cd 0.131 0.252 0.178 1
Cd4 Cd 0.252 0.122 0.822 1
Cd5 Cd 0.391 0.953 0.784 1
Cd6 Cd 0.438 0.391 0.216 1
Cd7 Cd 0.562 0.609 0.784 1
Cd8 Cd 0.609 0.047 0.216 1
Cd9 Cd 0.748 0.878 0.178 1
Cd10 Cd 0.869 0.748 0.822 1
Cd11 Cd 0.878 0.131 0.822 1
Cd12 Cd 0.953 0.562 0.216 1
In1 In 0.000 0.000 0.500 1
In2 In 0.111 0.723 0.687 1
In3 In 0.277 0.388 0.687 1
In4 In 0.388 0.111 0.313 1
In5 In 0.612 0.889 0.687 1
In6 In 0.723 0.612 0.313 1
In7 In 0.889 0.277 0.313 1

***

# CsCd11In | Alexandria | PBE | relaxed
# M_tot	0.000	μB/cell
# electronic total energy	-1.06	eV/atom
# D(E_F)	4.55	states/eV/cell
# E_form	-0.7	kJ/mol of atoms
data_CsCd11In
_chemical_formula_sum 'Cs1 Cd11 In1'
_cell_length_a 8.011
_cell_length_b 8.011
_cell_length_c 8.034
_cell_angle_alpha 98.23
_cell_angle_beta 98.23
_cell_angle_gamma 135.25
_space_group_name_H-M_alt 'P 1'
_space_group_IT_number 1
_space_group_name_Hall 'P 1'
loop_
_atom_site_label
_atom_site_type_symbol
_atom_site_fract_x
_atom_site_fract_y
_atom_site_fract_z
_atom_site_occupancy
Cs1 Cs 0.000 0.000 0.000 1
Cd1 Cd 0.000 0.500 0.000 1
Cd2 Cd 0.002 0.360 0.357 1
Cd3 Cd 0.277 0.505 0.776 1
Cd4 Cd 0.360 0.002 0.357 1
Cd5 Cd 0.495 0.723 0.224 1
Cd6 Cd 0.500 0.000 0.000 1
Cd7 Cd 0.500 0.500 0.500 1
Cd8 Cd 0.505 0.277 0.776 1
Cd9 Cd 0.640 0.998 0.643 1
Cd10 Cd 0.723 0.495 0.224 1
Cd11 Cd 0.998 0.640 0.643 1
In1 In 0.000 0.000 0.500 1

***

# Cs2Cd2In3 | Alexandria | PBE | relaxed
# M_tot	0.000	μB/cell
# electronic total energy	-1.74	eV/atom
# D(E_F)	7.31	states/eV/cell
# relative energy among the computed polymorphs	0.0	kJ/mol of atoms
# E_form	-6.2	kJ/mol of atoms
data_Cs2Cd2In3
_chemical_formula_sum 'Cs4 Cd4 In6'
_cell_length_a 14.452
_cell_length_b 4.964
_cell_length_c 9.259
_cell_angle_alpha 90.00
_cell_angle_beta 127.83
_cell_angle_gamma 90.00
_space_group_name_H-M_alt 'P 1'
_space_group_IT_number 1
_space_group_name_Hall 'P 1'
loop_
_atom_site_label
_atom_site_type_symbol
_atom_site_fract_x
_atom_site_fract_y
_atom_site_fract_z
_atom_site_occupancy
Cs1 Cs 0.143 0.000 0.267 1
Cs2 Cs 0.357 0.500 0.733 1
Cs3 Cs 0.643 0.500 0.267 1
Cs4 Cs 0.857 0.000 0.733 1
Cd1 Cd 0.121 0.000 0.712 1
Cd2 Cd 0.379 0.500 0.288 1
Cd3 Cd 0.621 0.500 0.712 1
Cd4 Cd 0.879 0.000 0.288 1
In1 In 0.000 0.500 0.500 1
In2 In 0.137 0.500 0.930 1
In3 In 0.363 0.000 0.070 1
In4 In 0.500 0.000 0.500 1
In5 In 0.637 0.000 0.930 1
In6 In 0.863 0.500 0.070 1

***

What is the formula in the fifth record?
Cs3Cd2In5